Here is ReMo2As after structural relaxation from the Alexandria database. Energies are from PBE-GGA.

a b c (Å): 3.1319 3.1319 6.3437
angles (deg): 90.00 90.00 90.00
Closest atoms and distances in Å follow each position.
Element x y z (fractional)
Re1 0.0000 0.0000 0.0000  4 Mo 2.64, 4 As 2.82
Mo1 0.0000 0.0000 0.4905  4 As 2.60, 4 Mo 2.85
Mo2 0.5000 0.5000 0.7727  4 Re 2.64, 4 Mo 2.85
As1 0.5000 0.5000 0.2752  4 Mo 2.60, 4 Re 2.82

Summary:
**Energy of formation from the pure elements**: 3.76 kcal/mol of atoms
**Space-group type**: No. 99
**Energy**: -9.53 eV/atom
**Crystal system**: tetragonal

---

Here is Re3MoAs after structural relaxation from the Alexandria database. Energies are from PBE-GGA.

a b c (Å): 4.4763 4.4763 4.4763
angles (deg): 90.00 90.00 90.00
Closest atoms and distances in Å follow each position.
Element x y z (fractional)
Re1 0.0000 0.0000 0.5000  2 As 2.24
Re2 0.0000 0.5000 0.0000  2 As 2.24
Re3 0.5000 0.0000 0.0000  2 As 2.24
Mo1 0.5000 0.5000 0.5000  12 Re 3.17
As1 0.0000 0.0000 0.0000  6 Re 2.24

Summary:
**Energy of formation from the pure elements**: 38.24 kcal/mol of atoms
**Space-group type**: No. 221
**Energy**: -8.91 eV/atom
**Crystal system**: cubic
**Energy above the most stable polymorph in this dataset**: 0.0 kJ/mol of atoms

---

Here is ReMo3As after structural relaxation from the Alexandria database. Energies are from PBE-GGA.

a b c (Å): 4.5130 4.5130 4.5130
angles (deg): 90.00 90.00 90.00
Closest atoms and distances in Å follow each position.
Element x y z (fractional)
Re1 0.0000 0.0000 0.0000  12 Mo 3.19
Mo1 0.0000 0.5000 0.5000  2 As 2.26
Mo2 0.5000 0.0000 0.5000  2 As 2.26
Mo3 0.5000 0.5000 0.0000  2 As 2.26
As1 0.5000 0.5000 0.5000  6 Mo 2.26

Summary:
**Energy of formation from the pure elements**: 33.00 kcal/mol of atoms
**Space-group type**: No. 221
**Energy**: -8.49 eV/atom
**Crystal system**: cubic
**Energy above the most stable polymorph in this dataset**: 0.0 kJ/mol of atoms

---

Here is Re2MoAs after structural relaxation from the Alexandria database. Energies are from PBE-GGA.

a b c (Å): 8.7162 8.7162 8.7162
angles (deg): 19.03 19.03 19.03
Closest atoms and distances in Å follow each position.
Element x y z (fractional)
Re1 0.2489 0.2489 0.2489  3 As 2.69, 3 Mo 2.73, 6 Re 2.88
Re2 0.7511 0.7511 0.7511  3 As 2.69, 3 Mo 2.73, 6 Re 2.88
Mo1 0.0000 0.0000 0.0000  6 Re 2.73, 6 Mo 2.88
As1 0.5000 0.5000 0.5000  6 Re 2.69, 6 As 2.88

Summary:
**Energy of formation from the pure elements**: 6.13 kcal/mol of atoms
**Space-group type**: No. 166
**Energy**: -9.83 eV/atom
**Crystal system**: trigonal

---

Here is ReMo3As after structural relaxation from the Alexandria database. Energies are from PBE-GGA.

a b c (Å): 4.7611 4.7611 4.7611
angles (deg): 90.00 90.00 90.00
Closest atoms and distances in Å follow each position.
Element x y z (fractional)
Re1 0.0000 0.0000 0.0000  6 Mo 2.38
Mo1 0.0000 0.0000 0.5000  2 Re 2.38
Mo2 0.0000 0.5000 0.0000  2 Re 2.38
Mo3 0.5000 0.0000 0.0000  2 Re 2.38
As1 0.5000 0.5000 0.5000  12 Mo 3.37

Summary:
**Energy of formation from the pure elements**: 39.09 kcal/mol of atoms
**Space-group type**: No. 221
**Energy**: -8.22 eV/atom
**Crystal system**: cubic
**Energy above the most stable polymorph in this dataset**: 25.5 kJ/mol of atoms

---

Here is Re2MoAs after structural relaxation from the Alexandria database. Energies are from PBE-GGA.

a b c (Å): 2.8675 4.2139 5.2153
angles (deg): 90.00 103.73 90.00
Closest atoms and distances in Å follow each position.
Element x y z (fractional)
Re1 0.0678 0.0000 0.2544  4 Re 2.59-2.87, 2 As 2.62, 2 Mo 2.80
Re2 0.9322 0.0000 0.7456  4 Re 2.59-2.87, 2 As 2.62, 2 Mo 2.80
Mo1 0.5000 0.5000 0.0000  2 As 2.61, 8 Re 2.80-2.92, 2 Mo 2.87
As1 0.5000 0.5000 0.5000  2 Mo 2.61, 4 Re 2.62, 2 As 2.87

Summary:
**Energy of formation from the pure elements**: 7.30 kcal/mol of atoms
**Space-group type**: No. 10
**Energy**: -9.78 eV/atom
**Crystal system**: monoclinic

---

Here is Re2MoAs after structural relaxation from the Alexandria database. Energies are from PBE-GGA.

a b c (Å): 4.8398 4.8398 2.9547
angles (deg): 90.00 90.00 116.40
Closest atoms and distances in Å follow each position.
Element x y z (fractional)
Re1 0.0000 0.5000 0.0000  2 Re 2.55, 4 As 2.84, 4 Mo 2.84
Re2 0.5000 0.0000 0.0000  2 Re 2.55, 4 As 2.84, 4 Mo 2.84
Mo1 0.0000 0.0000 0.5000  2 As 2.55, 8 Re 2.84
As1 0.5000 0.5000 0.5000  2 Mo 2.55, 8 Re 2.84

Summary:
**Energy of formation from the pure elements**: 9.31 kcal/mol of atoms
**Space-group type**: No. 65
**Energy**: -9.69 eV/atom
**Crystal system**: orthorhombic

---

Here is Sc2ReMoAs after structural relaxation from the Alexandria database. Energies are from PBE-GGA.

a b c (Å): 5.0332 5.0332 4.7027
angles (deg): 90.00 90.00 90.00
Closest atoms and distances in Å follow each position.
Element x y z (fractional)
Sc1 0.0000 0.5000 0.0000  2 Re 2.52
Sc2 0.5000 0.0000 0.0000  2 Re 2.52
Re1 0.0000 0.0000 0.0000  2 Mo 2.35, 4 Sc 2.52
Mo1 0.0000 0.0000 0.5000  2 Re 2.35
As1 0.5000 0.5000 0.5000  8 Sc 3.44, 4 Mo 3.56

Summary:
**Energy of formation from the pure elements**: 14.50 kcal/mol of atoms
**Space-group type**: No. 123
**Energy**: -7.49 eV/atom
**Crystal system**: tetragonal